(1)
# Os5Rh4

Os5Rh4 after structural relaxation (GGA-PBEsol, Alexandria).

a = 8.0554 Å, b = 8.0554 Å, c = 3.8092 Å
α = 90.00°, β = 90.00°, γ = 90.00°
Space group I4/mmm (No. 139)
Symmetry-distinct sites (fractional):
Os 0.0000 0.0000 0.0000 x2
Os 0.1651 0.1651 0.5000 x8
Rh 0.0000 0.3286 0.0000 x8


(2)
# OsRh4

OsRh4 after structural relaxation (GGA-PBEsol, Alexandria).

a = 5.9864 Å, b = 5.9864 Å, c = 3.7776 Å
α = 90.00°, β = 90.00°, γ = 90.00°
Space group I4/m (No. 87)
Symmetry-distinct sites (fractional):
Os 0.0000 0.0000 0.0000 x2
Rh 0.1032 0.7028 0.5000 x8


(3)
# OsRh

OsRh after structural relaxation (GGA-PBEsol, Alexandria).

a = 4.3073 Å, b = 2.6945 Å, c = 4.7112 Å
α = 90.00°, β = 90.00°, γ = 90.00°
Space group Pmma (No. 51)
Symmetry-distinct sites (fractional):
Os 0.2500 0.0000 0.1612 x2
Rh 0.2500 0.5000 0.6604 x2


Density of states at the Fermi level values (in states/eV/cell) by entry order: 16.52, 11.60, 3.68.
E_tot values (in eV per atom) by entry order: -10.357, -8.933, -10.121.